No. 1
This record from Alexandria via LeMat-Bulk describes a relaxed Ru2PtRh4 crystal. The functional is PBE.

Calculated values
- DFT formation energy: 0.32 eV per atom
- Space-group type: Pbam, No. 55

Unit cell a=4.171 b=4.950 c=10.322 alpha=90.00 beta=90.00 gamma=90.00
Element x y z (fractional)
Ru 0.500 0.678 0.841
Ru 0.500 0.322 0.159
Ru 0.500 0.178 0.659
Ru 0.500 0.822 0.341
Pt 0.000 0.000 0.500
Pt 0.000 0.500 0.000
Rh 0.000 0.485 0.703
Rh 0.000 0.515 0.297
Rh 0.000 0.985 0.797
Rh 0.000 0.015 0.203
Rh 0.500 0.687 0.585
Rh 0.500 0.313 0.415
Rh 0.500 0.813 0.085
Rh 0.500 0.187 0.915

=====

No. 2
This record from Alexandria via LeMat-Bulk describes a relaxed LaY crystal. The functional is PBE.

Calculated values
- Polymorph energy (0 for the lowest one): 0.057 eV per atom
- DFT formation energy: 0.06 eV per atom
- Space-group type: Cmcm, No. 63

Unit cell a=3.575 b=7.004 c=5.738 alpha=90.00 beta=90.00 gamma=104.78
Element x y z (fractional)
Y 0.185 0.370 0.250
Y 0.815 0.630 0.750
La 0.442 0.884 0.250
La 0.558 0.116 0.750

=====

No. 3
This record from Alexandria via LeMat-Bulk describes a relaxed Cs2ReHgI6 crystal. The functional is PBE.

Calculated values
- E_form (uncorrected): -573 kJ/mol of formula units
- Space-group type: Fm-3m, No. 225

Unit cell a=8.734 b=8.734 c=8.732 alpha=59.99 beta=59.99 gamma=90.00
Each line ends with the local moment (μB).
Element x y z (fractional)
Cs 0.750 0.250 0.500  0.00
Cs 0.250 0.750 0.500  0.00
Re 0.500 0.500 0.000  2.25
I 0.277 0.277 0.447  0.03
I 0.723 0.723 0.553  0.03
I 0.277 0.277 0.000  0.03
I 0.723 0.723 0.000  0.03
I 0.723 0.277 0.000  0.03
I 0.277 0.723 0.000  0.03
Hg 0.000 0.000 0.000  -0.02

=====

| no. | size of the total moment (Bohr magnetons per cell) |
| --- | --- |
| 1 | 0.000 |
| 2 | 0.000 |
| 3 | 3.000 |